(1)
# BeZn3Ir | Alexandria | PBE-GGA | optimized geometry
# **ΔH_f (0 K)**: 0.60 eV per atom
# **Calculated density**: 9.3 g/cm3
# **Excess energy over the best structure of this formula in the dataset**: 0.000 eV per atom
# **E**: -2.68 eV/atom
data_BeZn3Ir
_chemical_formula_sum 'Be1 Zn3 Ir1'
_space_group_name_H-M_alt 'P m -3 m'
_space_group_IT_number 221
_space_group_name_Hall '-P 4 2 3'
_cell_length_a 4.1431
_cell_length_b 4.1431
_cell_length_c 4.1431
_cell_angle_alpha 90.00
_cell_angle_beta 90.00
_cell_angle_gamma 90.00
loop_
_atom_site_label
_atom_site_type_symbol
_atom_site_fract_x
_atom_site_fract_y
_atom_site_fract_z
Be1 Be 0.0000 0.0000 0.0000
Zn1 Zn 0.0000 0.0000 0.5000
Ir1 Ir 0.5000 0.5000 0.5000


(2)
# Be2ZnIr | Alexandria | PBE-GGA | optimized geometry
# **ΔH_f (0 K)**: 0.02 eV per atom
# **Calculated density**: 9.4 g/cm3
# **E**: -4.37 eV/atom
data_Be2ZnIr
_chemical_formula_sum 'Be4 Zn2 Ir2'
_space_group_name_H-M_alt 'C m m m'
_space_group_IT_number 65
_space_group_name_Hall '-C 2 2'
_cell_length_a 2.8049
_cell_length_b 4.5979
_cell_length_c 7.5691
_cell_angle_alpha 90.00
_cell_angle_beta 90.00
_cell_angle_gamma 90.00
loop_
_atom_site_label
_atom_site_type_symbol
_atom_site_fract_x
_atom_site_fract_y
_atom_site_fract_z
Be1 Be 0.0000 0.0000 0.2374
Zn1 Zn 0.0000 0.5000 0.5000
Ir1 Ir 0.0000 0.5000 0.0000


(3)
# BeZnIr2 | Alexandria | PBE-GGA | optimized geometry
# **ΔH_f (0 K)**: -0.30 eV per atom
# **Calculated density**: 15.1 g/cm3
# **Excess energy over the best structure of this formula in the dataset**: 0.000 eV per atom
# **E**: -5.98 eV/atom
data_BeZnIr2
_chemical_formula_sum 'Be1 Zn1 Ir2'
_space_group_name_H-M_alt 'P 4/m m m'
_space_group_IT_number 123
_space_group_name_Hall '-P 4 2'
_cell_length_a 2.8713
_cell_length_b 2.8713
_cell_length_c 6.1055
_cell_angle_alpha 90.00
_cell_angle_beta 90.00
_cell_angle_gamma 90.00
loop_
_atom_site_label
_atom_site_type_symbol
_atom_site_fract_x
_atom_site_fract_y
_atom_site_fract_z
Be1 Be 0.0000 0.0000 0.0000
Zn1 Zn 0.0000 0.0000 0.5000
Ir1 Ir 0.5000 0.5000 0.2220